Here is a geometry-optimized RbBi2Pb structure from Alexandria. Energies are from PBE.

Summary:
Formation energy from the elements = -0.016 eV/atom
Energy = -12.50 eV/cell
N(E_F) = 0.748 states/eV per atom
Volume = 38.4 A^3/atom
Symmetry = Cm, No. 8
Magnetic moment = 0.00 μB/cell

a b c (Å): 4.585 4.585 10.783
angles (deg): 107.83 107.83 45.98
Element x y z (fractional)
Rb (0.000, 0.000, 0.000)
Bi (0.160, 0.160, 0.711)
Bi (0.409, 0.409, 0.287)
Pb (0.784, 0.784, 0.500)

=====

Here is a geometry-optimized RbBiPb4 structure from Alexandria. Energies are from PBE.

Summary:
Offset from the most stable computed form = 0.0 meV per atom
Formation energy from the elements = -0.005 eV/atom
Energy = -39.42 eV/cell
N(E_F) = 0.501 states/eV per atom
Volume = 37.1 A^3/atom
Symmetry = P-1, No. 2
Magnetic moment = 0.00 μB/cell

a b c (Å): 5.716 6.895 12.010
angles (deg): 104.42 103.60 90.02
Element x y z (fractional)
Rb (0.245, 0.295, 0.489)
Rb (0.755, 0.705, 0.511)
Bi (0.000, 0.500, 0.000)
Bi (0.500, 0.000, 0.000)
Pb (0.073, 0.143, 0.145)
Pb (0.139, 0.748, 0.280)
Pb (0.359, 0.988, 0.720)
Pb (0.425, 0.517, 0.847)
Pb (0.575, 0.483, 0.153)
Pb (0.641, 0.012, 0.280)
Pb (0.861, 0.252, 0.720)
Pb (0.927, 0.857, 0.855)

=====

Here is a geometry-optimized Rb3Bi2Pb structure from Alexandria. Energies are from PBE.

Summary:
Offset from the most stable computed form = 68.9 meV per atom
Formation energy from the elements = -0.218 eV/atom
Energy = -31.36 eV/cell
N(E_F) = 0.328 states/eV per atom
Volume = 49.8 A^3/atom
Symmetry = C2/m, No. 12
Magnetic moment = 0.00 μB/cell

a b c (Å): 10.370 10.370 10.427
angles (deg): 101.60 101.60 33.02
Element x y z (fractional)
Rb (0.061, 0.061, 0.188)
Rb (0.190, 0.190, 0.555)
Rb (0.319, 0.319, 0.946)
Rb (0.681, 0.681, 0.054)
Rb (0.810, 0.810, 0.445)
Rb (0.939, 0.939, 0.812)
Bi (0.120, 0.120, 0.838)
Bi (0.403, 0.403, 0.599)
Bi (0.597, 0.597, 0.401)
Bi (0.880, 0.880, 0.162)
Pb (0.434, 0.434, 0.315)
Pb (0.566, 0.566, 0.685)

=====

Here is a geometry-optimized RbBi2Pb5 structure from Alexandria. Energies are from PBE.

Summary:
Formation energy from the elements = -0.061 eV/atom
Energy = -27.76 eV/cell
N(E_F) = 0.308 states/eV per atom
Volume = 37.6 A^3/atom
Symmetry = Immm, No. 71
Magnetic moment = 0.00 μB/cell

a b c (Å): 8.479 8.479 8.479
angles (deg): 148.20 106.82 82.00
Element x y z (fractional)
Rb (0.000, 0.000, 0.000)
Bi (0.236, 0.736, 0.500)
Bi (0.764, 0.264, 0.500)
Pb (0.173, 0.354, 0.819)
Pb (0.465, 0.646, 0.819)
Pb (0.500, 0.000, 0.500)
Pb (0.535, 0.354, 0.181)
Pb (0.827, 0.646, 0.181)

=====

Here is a geometry-optimized RbBi2Pb2 structure from Alexandria. Energies are from PBE.

Summary:
Offset from the most stable computed form = 34.5 meV per atom
Formation energy from the elements = -0.141 eV/atom
Energy = -33.70 eV/cell
N(E_F) = 0.479 states/eV per atom
Volume = 38.9 A^3/atom
Symmetry = Imma, No. 74
Magnetic moment = 0.00 μB/cell

a b c (Å): 15.525 15.525 15.525
angles (deg): 161.26 161.10 26.73
Element x y z (fractional)
Rb (0.331, 0.081, 0.250)
Rb (0.669, 0.919, 0.750)
Bi (0.113, 0.363, 0.750)
Bi (0.221, 0.471, 0.750)
Bi (0.779, 0.529, 0.250)
Bi (0.887, 0.637, 0.250)
Pb (0.045, 0.795, 0.250)
Pb (0.457, 0.707, 0.750)
Pb (0.543, 0.293, 0.250)
Pb (0.955, 0.205, 0.750)

=====

Here is a geometry-optimized Rb6Bi4Pb structure from Alexandria. Energies are from PBE.

Summary:
Formation energy from the elements = -0.235 eV/atom
Energy = -55.24 eV/cell
N(E_F) = 1.190 states/eV per atom
Volume = 50.0 A^3/atom
Symmetry = P6_3mc, No. 186
Magnetic moment = 3.94 μB/cell

a b c (Å): 12.441 12.441 8.200
angles (deg): 90.00 90.00 120.00
Element x y z (fractional)
Rb (0.025, 0.512, 0.000)
Rb (0.151, 0.303, 0.734)
Rb (0.151, 0.849, 0.734)
Rb (0.303, 0.151, 0.234)
Rb (0.488, 0.512, 0.000)
Rb (0.488, 0.975, 0.000)
Rb (0.512, 0.025, 0.500)
Rb (0.512, 0.488, 0.500)
Rb (0.697, 0.849, 0.734)
Rb (0.849, 0.151, 0.234)
Rb (0.849, 0.697, 0.234)
Rb (0.975, 0.488, 0.500)
Bi (0.195, 0.390, 0.263)
Bi (0.195, 0.805, 0.263)
Bi (0.333, 0.667, 0.721)
Bi (0.390, 0.195, 0.763)
Bi (0.610, 0.805, 0.263)
Bi (0.667, 0.333, 0.221)
Bi (0.805, 0.195, 0.763)
Bi (0.805, 0.610, 0.763)
Pb (0.333, 0.667, 0.348)
Pb (0.667, 0.333, 0.848)

=====

Here is a geometry-optimized RbBiPb3 structure from Alexandria. Energies are from PBE.

Summary:
Offset from the most stable computed form = 379.4 meV per atom
Formation energy from the elements = 0.305 eV/atom
Energy = -14.45 eV/cell
N(E_F) = 1.084 states/eV per atom
Volume = 47.1 A^3/atom
Symmetry = Pm-3m, No. 221
Magnetic moment = 0.00 μB/cell

a b c (Å): 6.177 6.177 6.177
angles (deg): 90.00 90.00 90.00
Element x y z (fractional)
Rb (0.000, 0.000, 0.000)
Bi (0.500, 0.500, 0.500)
Pb (0.000, 0.500, 0.500)
Pb (0.500, 0.000, 0.500)
Pb (0.500, 0.500, 0.000)

=====

Here is a geometry-optimized RbBiPbS3 structure from Alexandria. Energies are from PBE.

Summary:
Energy = -49.80 eV/cell
Formation energy from raw total energies = -0.660 eV/atom
Volume = 32.4 A^3/atom
Symmetry = P2_1/m, No. 11
Magnetic moment = 0.00 μB/cell

a b c (Å): 8.006 4.111 12.432
angles (deg): 90.00 108.09 90.00
Element x y z (fractional)
Rb (0.086, 0.250, 0.170)
Rb (0.914, 0.750, 0.830)
Bi (0.423, 0.750, 0.855)
Bi (0.577, 0.250, 0.145)
Pb (0.293, 0.250, 0.556)
Pb (0.707, 0.750, 0.444)
S (0.185, 0.250, 0.751)
S (0.319, 0.750, 0.047)
S (0.482, 0.250, 0.359)
S (0.518, 0.750, 0.641)
S (0.681, 0.250, 0.953)
S (0.815, 0.750, 0.249)

=====

Here is a geometry-optimized RbBiPb2Se4 structure from Alexandria. Energies are from PBE.

Summary:
Energy = -61.65 eV/cell
N(E_F) = 0.311 states/eV per atom
Formation energy from raw total energies = -0.578 eV/atom
Volume = 30.9 A^3/atom
Symmetry = Imma, No. 74
Magnetic moment = 0.00 μB/cell

a b c (Å): 8.864 8.864 8.864
angles (deg): 120.24 119.02 90.65
Element x y z (fractional)
Rb (0.500, 0.000, 0.000)
Rb (0.500, 0.500, 0.500)
Bi (0.000, 0.000, 0.000)
Bi (0.500, 0.000, 0.500)
Pb (0.000, 0.000, 0.500)
Pb (0.000, 0.500, 0.000)
Pb (0.000, 0.500, 0.500)
Pb (0.500, 0.500, 0.000)
Se (0.225, 0.243, 0.982)
Se (0.239, 0.757, 0.482)
Se (0.244, 0.232, 0.489)
Se (0.244, 0.755, 0.011)
Se (0.756, 0.245, 0.989)
Se (0.756, 0.768, 0.511)
Se (0.761, 0.243, 0.518)
Se (0.775, 0.757, 0.018)

=====

Here is a geometry-optimized Rb2BiPbSe4 structure from Alexandria. Energies are from PBE.

Summary:
Energy = -57.85 eV/cell
N(E_F) = 0.556 states/eV per atom
Formation energy from raw total energies = -0.683 eV/atom
Volume = 33.0 A^3/atom
Symmetry = Imma, No. 74
Magnetic moment = 0.00 μB/cell

a b c (Å): 9.076 9.076 9.076
angles (deg): 120.56 119.43 90.02
Element x y z (fractional)
Rb (0.000, 0.000, 0.000)
Rb (0.500, 0.000, 0.000)
Rb (0.500, 0.000, 0.500)
Rb (0.500, 0.500, 0.500)
Bi (0.000, 0.000, 0.500)
Bi (0.000, 0.500, 0.000)
Pb (0.000, 0.500, 0.500)
Pb (0.500, 0.500, 0.000)
Se (0.206, 0.737, 0.470)
Se (0.233, 0.263, 0.970)
Se (0.235, 0.264, 0.529)
Se (0.235, 0.705, 0.971)
Se (0.765, 0.295, 0.029)
Se (0.765, 0.736, 0.471)
Se (0.767, 0.737, 0.030)
Se (0.794, 0.263, 0.530)

=====

Here is a geometry-optimized RbSnBiPb2 structure from Alexandria. Energies are from PBE.

Summary:
Formation energy from the elements = -0.099 eV/atom
Energy = -16.76 eV/cell
N(E_F) = 0.550 states/eV per atom
Volume = 39.1 A^3/atom
Symmetry = I-4m2, No. 119
Magnetic moment = 0.00 μB/cell

a b c (Å): 7.822 7.822 7.822
angles (deg): 140.04 140.04 57.79
Element x y z (fractional)
Rb (0.000, 0.000, 0.000)
Sn (0.250, 0.750, 0.500)
Bi (0.750, 0.250, 0.500)
Pb (0.378, 0.378, 0.000)
Pb (0.622, 0.622, 0.000)

=====

Here is a geometry-optimized Rb2Sn3BiPb4 structure from Alexandria. Energies are from PBE.

Summary:
Formation energy from the elements = -0.108 eV/atom
Energy = -33.74 eV/cell
N(E_F) = 0.473 states/eV per atom
Volume = 37.9 A^3/atom
Symmetry = P-4m2, No. 115
Magnetic moment = 0.00 μB/cell

a b c (Å): 5.325 5.325 13.381
angles (deg): 90.00 90.00 90.00
Element x y z (fractional)
Rb (0.000, 0.500, 0.250)
Rb (0.500, 0.000, 0.750)
Sn (0.000, 0.000, 0.000)
Sn (0.000, 0.500, 0.628)
Sn (0.500, 0.000, 0.372)
Bi (0.500, 0.500, 0.000)
Pb (0.000, 0.000, 0.500)
Pb (0.000, 0.500, 0.866)
Pb (0.500, 0.000, 0.134)
Pb (0.500, 0.500, 0.500)